An optimized crystal structure of NdPuH2I4, computed with PBE.

Cell: 4.093 4.093 16.367 Å, 90.00 90.00 120.00°
Fractional coordinates of all 8 atoms:
Nd 0.000 0.000 0.000
Pu 0.000 0.000 0.500
H 0.333 0.667 0.000
H 0.667 0.333 0.500
I 0.333 0.667 0.370
I 0.333 0.667 0.630
I 0.667 0.333 0.133
I 0.667 0.333 0.867

Values from the calculation:
* crystal system: hexagonal
* final energy: -40.51 eV/cell

An optimized crystal structure of Li2ZrP2O8, computed with PBE.

Cell: 4.935 4.935 7.350 Å, 90.00 90.00 120.00°
Fractional coordinates of all 13 atoms:
Li 0.333 0.667 0.197
Li 0.667 0.333 0.803
Zr 0.000 0.000 0.500
P 0.333 0.667 0.749
P 0.667 0.333 0.251
O 0.043 0.677 0.669
O 0.323 0.366 0.669
O 0.333 0.667 0.950
O 0.366 0.043 0.331
O 0.634 0.957 0.669
O 0.667 0.333 0.050
O 0.677 0.634 0.331
O 0.957 0.323 0.331

Values from the calculation:
* crystal system: trigonal
* final energy: -95.91 eV/cell

An optimized crystal structure of GdErTm2Cd2, computed with PBE.

Cell: 5.371 8.670 8.670 Å, 23.96 90.00 90.00°
Fractional coordinates of all 6 atoms:
Gd 0.000 0.000 0.000
Er 0.500 0.820 0.820
Tm 0.000 0.685 0.685
Tm 0.500 0.136 0.136
Cd 0.000 0.341 0.341
Cd 0.500 0.478 0.478

Values from the calculation:
* crystal system: orthorhombic
* final energy: -21.29 eV/cell
* ΔE_f: -0.222 eV/atom

An optimized crystal structure of NbCoSb, computed with PBE.

Cell: 4.222 4.222 4.222 Å, 60.00 60.00 60.00°
Fractional coordinates of all 3 atoms:
Nb 0.000 0.000 0.000
Co 0.250 0.250 0.250
Sb 0.500 0.500 0.500

Values from the calculation:
* crystal system: cubic
* final energy: -21.96 eV/cell

An optimized crystal structure of Lu3Re2W3N12, computed with PBE.

Cell: 10.871 10.871 10.871 Å, 109.47 109.47 109.47°
Fractional coordinates of all 80 atoms:
Lu 0.125 0.250 0.375
Lu 0.125 0.375 0.750
Lu 0.250 0.375 0.125
Lu 0.250 0.875 0.625
Lu 0.375 0.125 0.250
Lu 0.375 0.750 0.125
Lu 0.625 0.250 0.875
Lu 0.625 0.875 0.750
Lu 0.750 0.125 0.375
Lu 0.750 0.625 0.875
Lu 0.875 0.625 0.250
Lu 0.875 0.750 0.625
Re 0.000 0.000 0.000
Re 0.000 0.000 0.500
Re 0.000 0.500 0.000
Re 0.000 0.500 0.500
Re 0.500 0.000 0.000
Re 0.500 0.000 0.500
Re 0.500 0.500 0.000
Re 0.500 0.500 0.500
W 0.125 0.750 0.875
W 0.125 0.875 0.250
W 0.250 0.125 0.875
W 0.250 0.625 0.375
W 0.375 0.250 0.625
W 0.375 0.625 0.750
W 0.625 0.375 0.250
W 0.625 0.750 0.375
W 0.750 0.375 0.625
W 0.750 0.875 0.125
W 0.875 0.125 0.750
W 0.875 0.250 0.125
N 0.026 0.205 0.119
N 0.026 0.321 0.907
N 0.086 0.705 0.679
N 0.086 0.881 0.407
N 0.093 0.619 0.414
N 0.093 0.974 0.679
N 0.119 0.026 0.205
N 0.119 0.593 0.914
N 0.179 0.205 0.586
N 0.179 0.474 0.593
N 0.205 0.119 0.026
N 0.205 0.586 0.179
N 0.295 0.321 0.914
N 0.295 0.474 0.381
N 0.321 0.907 0.026
N 0.321 0.914 0.295
N 0.381 0.295 0.474
N 0.381 0.586 0.907
N 0.407 0.086 0.881
N 0.407 0.821 0.526
N 0.414 0.093 0.619
N 0.414 0.821 0.795
N 0.474 0.381 0.295
N 0.474 0.593 0.179
N 0.526 0.407 0.821
N 0.526 0.619 0.705
N 0.586 0.179 0.205
N 0.586 0.907 0.381
N 0.593 0.179 0.474
N 0.593 0.914 0.119
N 0.619 0.414 0.093
N 0.619 0.705 0.526
N 0.679 0.086 0.705
N 0.679 0.093 0.974
N 0.705 0.526 0.619
N 0.705 0.679 0.086
N 0.795 0.414 0.821
N 0.795 0.881 0.974
N 0.821 0.526 0.407
N 0.821 0.795 0.414
N 0.881 0.407 0.086
N 0.881 0.974 0.795
N 0.907 0.026 0.321
N 0.907 0.381 0.586
N 0.914 0.119 0.593
N 0.914 0.295 0.321
N 0.974 0.679 0.093
N 0.974 0.795 0.881

Values from the calculation:
* crystal system: cubic
* final energy: -759.04 eV/cell

An optimized crystal structure of RbGdCdS3, computed with PBE.

Cell: 8.881 8.881 9.094 Å, 102.77 102.77 26.89°
Fractional coordinates of all 12 atoms:
Rb 0.147 0.147 0.064
Rb 0.853 0.853 0.936
Gd 0.169 0.169 0.582
Gd 0.831 0.831 0.418
Cd 0.496 0.496 0.279
Cd 0.504 0.504 0.721
S 0.000 0.000 0.500
S 0.333 0.333 0.628
S 0.340 0.340 0.225
S 0.500 0.500 0.000
S 0.660 0.660 0.775
S 0.667 0.667 0.372

Values from the calculation:
* crystal system: monoclinic
* final energy: -53.98 eV/cell

An optimized crystal structure of Nd2Sc2CI2Br3, computed with PBE.

Cell: 9.333 9.333 8.207 Å, 102.62 102.62 23.78°
Fractional coordinates of all 10 atoms:
Nd 0.138 0.138 0.068
Nd 0.862 0.862 0.932
Sc 0.499 0.499 0.184
Sc 0.501 0.501 0.816
C 0.000 0.000 0.000
I 0.341 0.341 0.632
I 0.659 0.659 0.368
Br 0.000 0.000 0.500
Br 0.342 0.342 0.192
Br 0.658 0.658 0.808

Values from the calculation:
* crystal system: monoclinic
* final energy: -51.50 eV/cell

An optimized crystal structure of LaErAg, computed with PBE.

Cell: 5.054 5.054 5.054 Å, 60.00 60.00 60.00°
Fractional coordinates of all 3 atoms:
La 0.000 0.000 0.000
Er 0.250 0.250 0.250
Ag 0.750 0.750 0.750

Values from the calculation:
* crystal system: cubic
* final energy: -10.72 eV/cell
* ΔE_f: 0.529 eV/atom

An optimized crystal structure of TbTmSb2, computed with PBE.

Cell: 4.365 4.365 6.173 Å, 90.00 90.00 90.00°
Fractional coordinates of all 4 atoms:
Tb 0.000 0.000 0.000
Tm 0.500 0.500 0.500
Sb 0.000 0.000 0.500
Sb 0.500 0.500 0.000

Values from the calculation:
* crystal system: tetragonal
* final energy: -21.77 eV/cell

An optimized crystal structure of YAgSnTe2S, computed with PBE.

Cell: 7.547 7.547 10.393 Å, 90.00 90.00 146.75°
Fractional coordinates of all 12 atoms:
Y 0.000 0.000 0.000
Y 0.000 0.000 0.500
Ag 0.481 0.519 0.750
Ag 0.519 0.481 0.250
Sn 0.276 0.724 0.250
Sn 0.724 0.276 0.750
Te 0.349 0.651 0.555
Te 0.349 0.651 0.945
Te 0.651 0.349 0.055
Te 0.651 0.349 0.445
S 0.081 0.919 0.750
S 0.919 0.081 0.250

Values from the calculation:
* crystal system: orthorhombic
* final energy: -56.49 eV/cell

An optimized crystal structure of TbPuTc, computed with PBE.

Cell: 4.547 4.547 4.547 Å, 60.00 60.00 60.00°
Fractional coordinates of all 3 atoms:
Tb 0.000 0.000 0.000
Pu 0.250 0.250 0.250
Tc 0.500 0.500 0.500

Values from the calculation:
* crystal system: cubic
* final energy: -26.63 eV/cell
* ΔE_f: 0.829 eV/atom

An optimized crystal structure of RbSmTeO, computed with PBE.

Cell: 4.900 8.776 7.072 Å, 90.00 90.00 90.00°
Fractional coordinates of all 8 atoms:
Rb 0.000 0.211 0.000
Rb 0.000 0.789 0.500
Sm 0.500 0.391 0.406
Sm 0.500 0.609 0.906
Te 0.000 0.202 0.508
Te 0.000 0.798 0.008
O 0.500 0.418 0.099
O 0.500 0.582 0.599

Values from the calculation:
* crystal system: orthorhombic
* final energy: -42.98 eV/cell

| no. | magnetic moment (μB/f.u.) |
| --- | --- |
| 1 | 5.0 |
| 2 | 0.0 |
| 3 | 0.1 |
| 4 | 0.1 |
| 5 | 0.6 |
| 6 | 0.0 |
| 7 | 0.0 |
| 8 | 0.0 |
| 9 | 0.0 |
| 10 | 0.0 |
| 11 | 5.3 |
| 12 | 0.0 |